First-principles (GGA-PBE) data for a relaxed structure of ScTaMo2, as listed in the Alexandria database.

Structure (CIF):
```
data_ScTaMo2
_chemical_formula_sum 'Sc1 Ta1 Mo2'
_symmetry_space_group_name_H-M 'P 4/m m m'
_symmetry_Int_Tables_number 123
_symmetry_space_group_name_Hall '-P 4 2'
_cell_length_a 4.6525
_cell_length_b 4.6525
_cell_length_c 3.2095
_cell_angle_alpha 90.00
_cell_angle_beta 90.00
_cell_angle_gamma 90.00
loop_
_atom_site_label
_atom_site_type_symbol
_atom_site_fract_x
_atom_site_fract_y
_atom_site_fract_z
Sc1 Sc 0.0000 0.0000 0.0000
Ta1 Ta 0.5000 0.5000 0.0000
Mo1 Mo 0.0000 0.5000 0.5000
```

energy = -9.852 eV per atom
excess energy over the best structure of this formula in the dataset = 98 meV/atom
E_form = 109 meV/atom